(1)
# CeNd2Sm2 PBE optimized geometry
# excess energy over the best structure of this formula in the dataset = 0 meV per atom
# volume = 178.2 Å³/f.u.
# mass density = 6.80 g/cm³
# SG = I4/mmm
# density of states at the Fermi level = 2.263 states/eV/atom
# formation energy from the elements = 0.386 eV per atom
data_CeNd2Sm2
_cell_length_a 8.977
_cell_length_b 8.977
_cell_length_c 8.977
_cell_angle_alpha 150.20
_cell_angle_beta 150.20
_cell_angle_gamma 42.64
_space_group_name_H-M_alt 'P 1'
_space_group_IT_number 1
loop_
_space_group_symop_operation_xyz
'x,y,z'
loop_
_atom_site_label
_atom_site_type_symbol
_atom_site_fract_x
_atom_site_fract_y
_atom_site_fract_z
Ce1 Ce 0.000 0.000 0.000
Nd1 Nd 0.407 0.407 0.000
Nd2 Nd 0.593 0.593 0.000
Sm1 Sm 0.250 0.750 0.500
Sm2 Sm 0.750 0.250 0.500

***

(2)
# ScTl2Hg PBE optimized geometry
# volume = 101.9 Å³/f.u.
# mass density = 10.67 g/cm³
# SG = R3m
# density of states at the Fermi level = 0.971 states/eV/atom
# formation energy from the elements = 0.009 eV per atom
data_ScTl2Hg
_cell_length_a 5.204
_cell_length_b 5.204
_cell_length_c 5.204
_cell_angle_alpha 60.99
_cell_angle_beta 60.99
_cell_angle_gamma 60.99
_space_group_name_H-M_alt 'P 1'
_space_group_IT_number 1
loop_
_space_group_symop_operation_xyz
'x,y,z'
loop_
_atom_site_label
_atom_site_type_symbol
_atom_site_fract_x
_atom_site_fract_y
_atom_site_fract_z
Sc1 Sc 0.000 0.000 0.000
Tl1 Tl 0.250 0.250 0.250
Tl2 Tl 0.501 0.501 0.501
Hg1 Hg 0.752 0.752 0.752

***

(3)
# HgP2Pb PBE optimized geometry
# excess energy over the best structure of this formula in the dataset = 26 meV per atom
# volume = 109.6 Å³/f.u.
# mass density = 7.12 g/cm³
# SG = Cm
# density of states at the Fermi level = 0.181 states/eV/atom
# formation energy from the elements = 0.150 eV per atom
data_HgP2Pb
_cell_length_a 6.837
_cell_length_b 6.837
_cell_length_c 5.294
_cell_angle_alpha 108.13
_cell_angle_beta 108.13
_cell_angle_gamma 27.88
_space_group_name_H-M_alt 'P 1'
_space_group_IT_number 1
loop_
_space_group_symop_operation_xyz
'x,y,z'
loop_
_atom_site_label
_atom_site_type_symbol
_atom_site_fract_x
_atom_site_fract_y
_atom_site_fract_z
Hg1 Hg 0.000 0.000 0.000
P1 P 0.363 0.363 0.370
P2 P 0.755 0.755 0.165
Pb1 Pb 0.203 0.203 0.605

***

(4)
# LiYZr2 PBE optimized geometry
# excess energy over the best structure of this formula in the dataset = 77 meV per atom
# volume = 96.8 Å³/f.u.
# mass density = 4.77 g/cm³
# SG = Pm
# density of states at the Fermi level = 1.206 states/eV/atom
# formation energy from the elements = 0.195 eV per atom
data_LiYZr2
_cell_length_a 3.257
_cell_length_b 4.608
_cell_length_c 6.557
_cell_angle_alpha 90.00
_cell_angle_beta 100.38
_cell_angle_gamma 90.00
_space_group_name_H-M_alt 'P 1'
_space_group_IT_number 1
loop_
_space_group_symop_operation_xyz
'x,y,z'
loop_
_atom_site_label
_atom_site_type_symbol
_atom_site_fract_x
_atom_site_fract_y
_atom_site_fract_z
Li1 Li 0.000 0.000 0.000
Y1 Y 0.525 0.500 0.239
Zr1 Zr 0.140 0.000 0.547
Zr2 Zr 0.703 0.500 0.737

***

(5)
# Tb7Ho3Sc2 PBE optimized geometry
# excess energy over the best structure of this formula in the dataset = 0 meV per atom
# volume = 369.0 Å³/f.u.
# mass density = 7.64 g/cm³
# SG = P2/m
# density of states at the Fermi level = 1.421 states/eV/atom
# formation energy from the elements = 0.104 eV per atom
data_Tb7Ho3Sc2
_cell_length_a 5.733
_cell_length_b 3.519
_cell_length_c 18.329
_cell_angle_alpha 90.00
_cell_angle_beta 93.62
_cell_angle_gamma 90.00
_space_group_name_H-M_alt 'P 1'
_space_group_IT_number 1
loop_
_space_group_symop_operation_xyz
'x,y,z'
loop_
_atom_site_label
_atom_site_type_symbol
_atom_site_fract_x
_atom_site_fract_y
_atom_site_fract_z
Tb1 Tb 0.000 0.000 0.000
Tb2 Tb 0.187 0.500 0.184
Tb3 Tb 0.258 0.500 0.538
Tb4 Tb 0.315 0.000 0.852
Tb5 Tb 0.685 0.000 0.148
Tb6 Tb 0.742 0.500 0.462
Tb7 Tb 0.813 0.500 0.816
Ho1 Ho 0.222 0.000 0.366
Ho2 Ho 0.500 0.500 0.000
Ho3 Ho 0.778 0.000 0.634
Sc1 Sc 0.289 0.500 0.704
Sc2 Sc 0.711 0.500 0.296

***

(6)
# TcMo2Ru PBE optimized geometry
# excess energy over the best structure of this formula in the dataset = 134 meV per atom
# volume = 60.7 Å³/f.u.
# mass density = 10.69 g/cm³
# SG = F-43m
# density of states at the Fermi level = 1.510 states/eV/atom
# formation energy from the elements = 0.236 eV per atom
data_TcMo2Ru
_cell_length_a 4.412
_cell_length_b 4.412
_cell_length_c 4.412
_cell_angle_alpha 60.00
_cell_angle_beta 60.00
_cell_angle_gamma 60.00
_space_group_name_H-M_alt 'P 1'
_space_group_IT_number 1
loop_
_space_group_symop_operation_xyz
'x,y,z'
loop_
_atom_site_label
_atom_site_type_symbol
_atom_site_fract_x
_atom_site_fract_y
_atom_site_fract_z
Tc1 Tc 0.000 0.000 0.000
Mo1 Mo 0.250 0.250 0.250
Mo2 Mo 0.500 0.500 0.500
Ru1 Ru 0.750 0.750 0.750

***

(7)
# ReTe2IBr PBE optimized geometry
# excess energy over the best structure of this formula in the dataset = 0 meV per atom
# volume = 151.4 Å³/f.u.
# mass density = 7.11 g/cm³
# SG = P4/mmm
# density of states at the Fermi level = 0.877 states/eV/atom
# ΔE_f (raw) = 0.51 eV per atom
data_ReTe2IBr
_cell_length_a 5.201
_cell_length_b 5.201
_cell_length_c 5.598
_cell_angle_alpha 90.00
_cell_angle_beta 90.00
_cell_angle_gamma 90.00
_space_group_name_H-M_alt 'P 1'
_space_group_IT_number 1
loop_
_space_group_symop_operation_xyz
'x,y,z'
loop_
_atom_site_label
_atom_site_type_symbol
_atom_site_fract_x
_atom_site_fract_y
_atom_site_fract_z
Re1 Re 0.000 0.000 0.000
Te1 Te 0.000 0.500 0.000
Te2 Te 0.500 0.000 0.000
I1 I 0.000 0.000 0.500
Br1 Br 0.500 0.500 0.500

***

(8)
# HoPuTlIr PBE optimized geometry
# volume = 93.6 Å³/f.u.
# mass density = 14.28 g/cm³
# SG = F-43m
# density of states at the Fermi level = 2.034 states/eV/atom
# formation energy from the elements = -0.253 eV per atom
data_HoPuTlIr
_cell_length_a 5.097
_cell_length_b 5.097
_cell_length_c 5.097
_cell_angle_alpha 60.00
_cell_angle_beta 60.00
_cell_angle_gamma 60.00
_space_group_name_H-M_alt 'P 1'
_space_group_IT_number 1
loop_
_space_group_symop_operation_xyz
'x,y,z'
loop_
_atom_site_label
_atom_site_type_symbol
_atom_site_fract_x
_atom_site_fract_y
_atom_site_fract_z
Ho1 Ho 0.000 0.000 0.000
Pu1 Pu 0.500 0.500 0.500
Tl1 Tl 0.750 0.750 0.750
Ir1 Ir 0.250 0.250 0.250

***

(9)
# ZnRhBr2 PBE optimized geometry
# excess energy over the best structure of this formula in the dataset = 15 meV per atom
# volume = 106.0 Å³/f.u.
# mass density = 5.14 g/cm³
# SG = Cm
# density of states at the Fermi level = 0.431 states/eV/atom
# ΔE_f (raw) = -0.19 eV per atom
data_ZnRhBr2
_cell_length_a 4.279
_cell_length_b 4.279
_cell_length_c 7.383
_cell_angle_alpha 93.81
_cell_angle_beta 93.81
_cell_angle_gamma 51.83
_space_group_name_H-M_alt 'P 1'
_space_group_IT_number 1
loop_
_space_group_symop_operation_xyz
'x,y,z'
loop_
_atom_site_label
_atom_site_type_symbol
_atom_site_fract_x
_atom_site_fract_y
_atom_site_fract_z
Zn1 Zn 0.000 0.000 0.000
Rh1 Rh 0.287 0.287 0.877
Br1 Br 0.388 0.388 0.215
Br2 Br 0.699 0.699 0.670

***

(10)
# KY3Cr PBE optimized geometry
# excess energy over the best structure of this formula in the dataset = 0 meV per atom
# volume = 171.3 Å³/f.u.
# mass density = 3.47 g/cm³
# SG = Pm-3m
# density of states at the Fermi level = 0.394 states/eV/atom
# formation energy from the elements = 0.474 eV per atom
data_KY3Cr
_cell_length_a 5.554
_cell_length_b 5.554
_cell_length_c 5.554
_cell_angle_alpha 90.00
_cell_angle_beta 90.00
_cell_angle_gamma 90.00
_space_group_name_H-M_alt 'P 1'
_space_group_IT_number 1
loop_
_space_group_symop_operation_xyz
'x,y,z'
loop_
_atom_site_label
_atom_site_type_symbol
_atom_site_fract_x
_atom_site_fract_y
_atom_site_fract_z
K1 K 0.000 0.000 0.000
Y1 Y 0.000 0.500 0.500
Y2 Y 0.500 0.000 0.500
Y3 Y 0.500 0.500 0.000
Cr1 Cr 0.500 0.500 0.500

***

(11)
# Ta2Ni PBE optimized geometry
# volume = 47.8 Å³/f.u.
# mass density = 14.62 g/cm³
# SG = Pnma
# density of states at the Fermi level = 1.268 states/eV/atom
# formation energy from the elements = -0.025 eV per atom
data_Ta2Ni
_cell_length_a 5.422
_cell_length_b 4.530
_cell_length_c 7.777
_cell_angle_alpha 90.00
_cell_angle_beta 90.00
_cell_angle_gamma 90.00
_space_group_name_H-M_alt 'P 1'
_space_group_IT_number 1
loop_
_space_group_symop_operation_xyz
'x,y,z'
loop_
_atom_site_label
_atom_site_type_symbol
_atom_site_fract_x
_atom_site_fract_y
_atom_site_fract_z
Ta1 Ta 0.010 0.250 0.231
Ta2 Ta 0.204 0.250 0.583
Ta3 Ta 0.296 0.750 0.083
Ta4 Ta 0.490 0.750 0.731
Ta5 Ta 0.510 0.250 0.269
Ta6 Ta 0.704 0.250 0.917
Ta7 Ta 0.796 0.750 0.417
Ta8 Ta 0.990 0.750 0.769
Ni1 Ni 0.244 0.250 0.917
Ni2 Ni 0.256 0.750 0.417
Ni3 Ni 0.744 0.250 0.583
Ni4 Ni 0.756 0.750 0.083